Density functional theory data (PBEsol) for crystalline CsNaTi2Pd at its relaxed geometry.

Cell: 4.925 4.925 6.499 Å, 90.00 90.00 90.00°
Space group P4/mmm (No. 123)
One atom of each set of equivalent atoms:
Cs  0.000  0.000  0.000 x1
Na  0.500  0.500  0.000 x1
Ti  0.000  0.500  0.500 x2
Pd  0.000  0.000  0.500 x1

Computed properties:
electronic total energy = -20.85 eV per formula unit
DOS(E_F) = 6.85 states/eV/cell
volume = 158 Å³/cell